Record 1
Zn2As | PBE | optimized geometry

Results
Formation energy = 80.1 meV/atom
Density of states at the Fermi level = 2.5 states/eV/cell
Energy = -13.914 eV for the cell shown
Relative energy among the computed polymorphs = 61 meV per atom
Symmetry = No. 140
Magnetic moment = 0.000 μB per formula unit

abc: 5.3209 5.3209 5.3209
angles: 118.52 118.52 92.58
Element x y z (fractional)
Zn1 0.1844 0.6844 0.8688
Zn2 0.3156 0.1844 0.5000
Zn3 0.6844 0.8156 0.5000
Zn4 0.8156 0.3156 0.1312
As1 0.2500 0.2500 0.0000
As2 0.7500 0.7500 0.0000

Record 2
Nd5RuBr5 | PBE | optimized geometry

Results
Density of states at the Fermi level = 8.8 states/eV/cell
E_form (uncorrected) = -1.169 eV per atom
Energy = -54.342 eV for the cell shown
Symmetry = No. 12
Magnetic moment = 0.000 μB per formula unit

abc: 7.1744 7.1744 8.9370
angles: 107.36 107.36 49.35
Element x y z (fractional)
Nd1 0.0000 0.0000 0.0000
Nd2 0.3304 0.3304 0.1317
Nd3 0.3550 0.3550 0.7131
Nd4 0.6450 0.6450 0.2869
Nd5 0.6696 0.6696 0.8683
Ru1 0.5000 0.5000 0.0000
Br1 0.1419 0.1419 0.7814
Br2 0.1730 0.1730 0.3591
Br3 0.5000 0.5000 0.5000
Br4 0.8270 0.8270 0.6409
Br5 0.8581 0.8581 0.2186

Record 3
Fe3SiNi12 | PBE | optimized geometry

Results
Density of states at the Fermi level = 10.8 states/eV/cell
E_form (uncorrected) = -0.172 eV per atom
Energy = -102.933 eV for the cell shown
Symmetry = No. 123
Magnetic moment = 14.507 μB per formula unit

abc: 3.5447 3.5447 14.0378
angles: 90.00 90.00 90.00
Element x y z (fractional)
Fe1 0.0000 0.0000 0.0000
Fe2 0.0000 0.0000 0.2514
Fe3 0.0000 0.0000 0.7486
Si1 0.0000 0.0000 0.5000
Ni1 0.0000 0.5000 0.1258
Ni2 0.0000 0.5000 0.3775
Ni3 0.0000 0.5000 0.6225
Ni4 0.0000 0.5000 0.8742
Ni5 0.5000 0.0000 0.1258
Ni6 0.5000 0.0000 0.3775
Ni7 0.5000 0.0000 0.6225
Ni8 0.5000 0.0000 0.8742
Ni9 0.5000 0.5000 0.0000
Ni10 0.5000 0.5000 0.2517
Ni11 0.5000 0.5000 0.5000
Ni12 0.5000 0.5000 0.7483